# 1
DFT (GGA-PBEsol) results for a relaxed structure of BaMg2In.

Lattice parameters (Å, degrees): 3.4747 3.4747 33.3436 90.00 90.00 120.00
With the nearest neighbours (Å) after each atom.
Space group R-3m (No. 166, hexagonal axes)
Unique sites:
Ba 0.0000 0.0000 0.0000 x3  6 Ba 3.47, 6 Mg 3.73
Mg 0.0000 0.0000 0.2389 x6  3 In 3.13, 6 Mg 3.47
In 0.0000 0.0000 0.5000 x3  6 Mg 3.13, 6 In 3.47

Results
As for the total magnetization: 0.00 μB per cell. As for the crystal system: trigonal. The calculation puts the density of states at the Fermi level at 3.2 states/eV/f.u. The value obtained for the total DFT energy (no corrections) is -2.055 eV/atom.

=====

# 2
DFT (GGA-PBEsol) results for a relaxed structure of K2InRu.

Lattice parameters (Å, degrees): 4.0956 4.0956 11.2474 90.00 90.00 90.00
With the nearest neighbours (Å) after each atom.
Space group I4/mmm (No. 139)
Unique sites:
K 0.0000 0.5000 0.2500 x4  4 K 2.90
In 0.0000 0.0000 0.0000 x2  4 Ru 2.90
Ru 0.0000 0.0000 0.5000 x2  4 In 2.90

Results
As for the total magnetization: 1.39 μB per cell. As for the crystal system: tetragonal. The calculation puts the density of states at the Fermi level at 1.2 states/eV/f.u. The value obtained for the total DFT energy (no corrections) is -3.069 eV/atom.

=====

# 3
DFT (GGA-PBEsol) results for a relaxed structure of Ba2InCu2.

Lattice parameters (Å, degrees): 6.1894 6.1894 7.6892 90.00 90.00 90.00
With the nearest neighbours (Å) after each atom.
Space group I4/mmm (No. 139)
Unique sites:
Ba 0.0000 0.5000 0.2500 x4  4 Cu 3.19
In 0.0000 0.0000 0.0000 x2  2 Cu 2.68
Cu 0.0000 0.0000 0.3487 x4  1 Cu 2.33

Results
As for the total magnetization: 0.00 μB per cell. As for the crystal system: tetragonal. The calculation puts the density of states at the Fermi level at 4.3 states/eV/f.u. The value obtained for the total DFT energy (no corrections) is -3.180 eV/atom.